1.
LaPm4ErTm2 PBE-GGA optimized geometry; magnetization = 0.000 μB per formula unit; energy of formation = 0.0244 eV per atom
1.0
5.691 -2.553 0.000
5.691 2.553 0.000
-4.600 0.000 9.133
La Pm Er Tm
1 4 1 2
Direct
0.000 0.000 0.000 La
0.249 0.249 0.872 Pm
0.251 0.251 0.377 Pm
0.749 0.749 0.623 Pm
0.751 0.751 0.128 Pm
0.000 0.000 0.500 Er
0.500 0.500 0.254 Tm
0.500 0.500 0.746 Tm

***

2.
La2PmEr6Tm3 PBE-GGA optimized geometry; magnetization = 0.000 μB per formula unit; energy of formation = 0.0281 eV per atom
1.0
3.083 -5.338 0.000
3.083 5.338 0.000
-2.055 0.000 11.568
La Pm Er Tm
2 1 6 3
Direct
0.167 0.833 0.000 La
0.833 0.167 0.000 La
0.500 0.500 0.000 Pm
0.081 0.414 0.744 Er
0.253 0.253 0.256 Er
0.414 0.081 0.744 Er
0.586 0.919 0.256 Er
0.747 0.747 0.744 Er
0.919 0.586 0.256 Er
0.000 0.000 0.500 Tm
0.333 0.667 0.500 Tm
0.667 0.333 0.500 Tm

***

3.
La2Pm2ErTm PBE-GGA optimized geometry; magnetization = 0.000 μB per formula unit; energy of formation = 0.0589 eV per atom
1.0
5.724 0.000 0.000
0.000 9.938 0.000
0.000 0.000 7.099
La Pm Er Tm
4 4 2 2
Direct
0.000 0.001 0.000 La
0.000 0.999 0.500 La
0.500 0.178 0.250 La
0.500 0.822 0.750 La
0.000 0.333 0.250 Pm
0.000 0.667 0.750 Pm
0.500 0.166 0.750 Pm
0.500 0.834 0.250 Pm
0.500 0.500 0.000 Er
0.500 0.500 0.500 Er
0.000 0.344 0.750 Tm
0.000 0.656 0.250 Tm